(1)
Material: Na2BH4
Method: DFT, PBE
State: optimized geometry Values from VASP.

The structure in Quantum ESPRESSO input format:
```
&SYSTEM
  ibrav = 0, nat = 7, ntyp = 3
/
ATOMIC_SPECIES
H 1.01 H.upf
B 10.81 B.upf
Na 22.99 Na.upf
CELL_PARAMETERS angstrom
-3.801 -1.117 -3.682
2.329 -4.802 -0.879
-1.450 1.399 5.011
ATOMIC_POSITIONS crystal
H 0.958 0.777 0.736
H 0.041 0.225 0.000
H 0.223 0.042 0.264
H 0.775 0.959 0.000
B 0.999 0.001 0.000
Na 0.752 0.248 0.500
Na 0.252 0.748 0.500
```

Properties
raw total energy	-3.354	eV per atom

---

(2)
Material: KYCl2
Method: DFT, PBE
State: optimized geometry Values from VASP.

The structure in Quantum ESPRESSO input format:
```
&SYSTEM
  ibrav = 0, nat = 4, ntyp = 3
/
ATOMIC_SPECIES
Cl 35.45 Cl.upf
Y 88.91 Y.upf
K 39.10 K.upf
CELL_PARAMETERS angstrom
6.478 0.013 -0.005
0.476 6.460 0.005
-1.552 -5.304 3.379
ATOMIC_POSITIONS crystal
Cl 0.544 0.544 0.000
Y 0.750 0.250 0.500
K 0.250 0.750 0.500
Cl 0.956 0.956 0.000
```

Properties
formation energy (no corrections)	-1.313	eV per atom

---

(3)
Material: AlCr2Cd
Method: DFT, PBE
State: optimized geometry Values from VASP.

The structure in Quantum ESPRESSO input format:
```
&SYSTEM
  ibrav = 0, nat = 4, ntyp = 3
/
ATOMIC_SPECIES
Al 26.98 Al.upf
Cr 52.00 Cr.upf
Cd 112.41 Cd.upf
CELL_PARAMETERS angstrom
-0.265 -4.052 -2.744
-1.641 -4.618 -0.067
-4.014 -0.005 -2.064
ATOMIC_POSITIONS crystal
Al 0.250 0.250 0.250
Cr 0.993 0.993 0.072
Cr 0.507 0.507 0.428
Cd 0.750 0.750 0.750
```

Properties
ΔE_f	0.387	eV/atom

---

(4)
Material: Pm2ErGe2
Method: DFT, PBE
State: optimized geometry Values from VASP.

The structure in Quantum ESPRESSO input format:
```
&SYSTEM
  ibrav = 0, nat = 10, ntyp = 3
/
ATOMIC_SPECIES
Pm 145.00 Pm.upf
Ge 72.64 Ge.upf
Er 167.26 Er.upf
CELL_PARAMETERS angstrom
4.328 0.000 0.000
-2.164 5.761 0.000
0.000 0.000 11.086
ATOMIC_POSITIONS crystal
Pm 0.922 0.845 0.143
Ge 0.230 0.461 0.141
Er 0.646 0.293 0.982
Pm 0.078 0.155 0.643
Ge 0.770 0.539 0.641
Er 0.354 0.707 0.482
Ge 0.992 0.983 0.395
Pm 0.346 0.691 0.825
Ge 0.008 0.017 0.895
Pm 0.654 0.309 0.325
```

Properties
ΔE_f	-0.660	eV/atom

---

(5)
Material: ScPaSb
Method: DFT, PBE
State: optimized geometry Values from VASP.

The structure in Quantum ESPRESSO input format:
```
&SYSTEM
  ibrav = 0, nat = 18, ntyp = 3
/
ATOMIC_SPECIES
Sc 44.96 Sc.upf
Sb 121.76 Sb.upf
Pa 231.04 Pa.upf
CELL_PARAMETERS angstrom
-3.039 -1.069 4.909
4.971 -2.935 -1.074
8.468 11.506 7.746
ATOMIC_POSITIONS crystal
Sc 0.500 0.500 0.000
Sb 0.500 0.500 0.666
Sc 0.000 0.000 0.167
Pa 0.346 0.673 0.833
Pa 0.327 0.654 0.167
Sb 0.500 0.000 0.332
Sc 0.000 0.000 0.833
Sc 0.000 0.000 0.500
Pa 0.673 0.346 0.167
Sb 0.000 0.500 0.668
Sb 0.500 0.000 0.001
Pa 0.327 0.673 0.500
Pa 0.654 0.327 0.833
Pa 0.673 0.327 0.500
Sb 0.000 0.500 0.999
Sc 0.500 0.000 0.667
Sb 0.500 0.500 0.334
Sc 0.000 0.500 0.333
```

Properties
formation energy (no corrections)	-0.045	eV per atom

---

(6)
Material: Tb3Ni
Method: DFT, PBE
State: optimized geometry Values from VASP.

The structure in Quantum ESPRESSO input format:
```
&SYSTEM
  ibrav = 0, nat = 4, ntyp = 2
/
ATOMIC_SPECIES
Tb 158.93 Tb.upf
Ni 58.69 Ni.upf
CELL_PARAMETERS angstrom
3.597 0.000 0.000
0.000 5.328 0.000
-1.799 -2.664 5.428
ATOMIC_POSITIONS crystal
Tb 0.695 0.111 0.390
Tb 0.500 0.415 0.000
Ni 0.000 0.920 0.000
Tb 0.305 0.721 0.610
```

Properties
ΔE_f	-0.140	eV/atom

---

(7)
Material: YCdHg
Method: DFT, PBE
State: optimized geometry Values from VASP.

The structure in Quantum ESPRESSO input format:
```
&SYSTEM
  ibrav = 0, nat = 3, ntyp = 3
/
ATOMIC_SPECIES
Hg 200.59 Hg.upf
Cd 112.41 Cd.upf
Y 88.91 Y.upf
CELL_PARAMETERS angstrom
4.891 0.000 0.000
2.445 4.236 0.000
2.445 1.412 3.993
ATOMIC_POSITIONS crystal
Hg 0.750 0.750 0.750
Cd 0.500 0.500 0.500
Y 0.000 0.000 0.000
```

Properties
ΔE_f	-0.253	eV/atom

---

(8)
Material: Ti2Cu2Bi
Method: DFT, PBE
State: optimized geometry Values from VASP.

The structure in Quantum ESPRESSO input format:
```
&SYSTEM
  ibrav = 0, nat = 10, ntyp = 3
/
ATOMIC_SPECIES
Bi 208.98 Bi.upf
Cu 63.55 Cu.upf
Ti 47.87 Ti.upf
CELL_PARAMETERS angstrom
6.773 0.000 0.000
0.000 6.773 0.000
0.000 0.000 3.725
ATOMIC_POSITIONS crystal
Bi 0.000 0.000 0.000
Cu 0.377 0.877 0.000
Ti 0.162 0.662 0.500
Cu 0.623 0.123 0.000
Cu 0.877 0.623 0.000
Ti 0.662 0.838 0.500
Ti 0.838 0.338 0.500
Ti 0.338 0.162 0.500
Cu 0.123 0.377 0.000
Bi 0.500 0.500 0.000
```

Properties
ΔE_f	0.044	eV/atom

---

no.,total magnetization (μB/atom)
1,0.000
2,0.110
3,0.000
4,0.153
5,0.000
6,0.000
7,0.000
8,0.000